# La2AlP

La2AlP after structural relaxation (PBE, Alexandria).

Values from the calculation:
As for the density: 5.515 g/cm3. For the distance to the lowest polymorph of the same formula, the calculation gives 165 meV/atom. Its magnetic moment is 0.00 μB/f.u. As for the electronic total energy: -21.67 eV/f.u.

Unit cell a=6.6851 b=8.0213 c=3.7705 alpha=90.00 beta=90.00 gamma=90.00
Last column: nearest neighbours and their distance in Å.
Space group Cmmm (No. 65)
One atom of each set of equivalent atoms:
La 0.2500 0.2500 0.0000 x4  4 Al 3.22, 4 P 3.22, 2 La 3.34
Al 0.0000 0.0000 0.5000 x2  8 La 3.22, 2 P 3.34
P 0.0000 0.5000 0.5000 x2  8 La 3.22, 2 Al 3.34

***

# AcAlPt

AcAlPt after structural relaxation (PBE, Alexandria).

Values from the calculation:
As for the density: 9.781 g/cm3. For the distance to the lowest polymorph of the same formula, the calculation gives 81 meV/atom. Its magnetic moment is 0.00 μB/f.u. As for the electronic total energy: -16.71 eV/f.u.

Unit cell a=4.3868 b=7.6429 c=9.0955 alpha=90.00 beta=90.00 gamma=90.00
Last column: nearest neighbours and their distance in Å.
Space group Cmcm (No. 63)
One atom of each set of equivalent atoms:
Ac 0.0000 0.0000 0.0000 x4  6 Pt 3.40-3.43, 6 Al 3.41
Al 0.0000 0.3322 0.2500 x4  3 Pt 2.54
Pt 0.0000 0.3353 0.7500 x4  3 Al 2.54

***

# Y2TaAlP

Y2TaAlP after structural relaxation (PBE, Alexandria).

Values from the calculation:
As for the density: 4.917 g/cm3. Its magnetic moment is 0.00 μB/f.u. As for the electronic total energy: -29.92 eV/f.u.

Unit cell a=5.3408 b=5.3408 c=4.9341 alpha=90.00 beta=90.00 gamma=90.00
Last column: nearest neighbours and their distance in Å.
Space group P4/mmm (No. 123)
One atom of each set of equivalent atoms:
Y 0.0000 0.5000 0.0000 x2  2 Ta 2.67
Ta 0.0000 0.0000 0.0000 x1  2 Al 2.47, 4 Y 2.67
Al 0.0000 0.0000 0.5000 x1  2 Ta 2.47
P 0.5000 0.5000 0.5000 x1  8 Y 3.64, 4 Al 3.78

***

# Li3La2ZrSe6

Li3La2ZrSe6 after structural relaxation (PBE, Alexandria).

Values from the calculation:
As for the density: 4.954 g/cm3. Its magnetic moment is 0.00 μB/f.u. As for the electronic total energy: -63.75 eV/f.u.

Unit cell a=7.1556 b=12.4247 c=6.9242 alpha=90.00 beta=109.87 gamma=90.00
Last column: nearest neighbours and their distance in Å.
Space group C2/m (No. 12)
One atom of each set of equivalent atoms:
Li 0.0000 0.0000 0.0000 x2  6 Se 2.78-3.00
Li 0.0000 0.3456 0.0000 x4  4 Se 2.71-2.77
La 0.0000 0.1686 0.5000 x4  6 Se 2.99-3.00
Zr 0.0000 0.5000 0.5000 x2  6 Se 2.76-2.79
Se 0.2271 0.5000 0.2473 x4  3 Li 2.71-3.00, 1 Zr 2.76, 2 La 2.99
Se 0.2410 0.3464 0.7610 x8  2 Li 2.77-2.78, 1 Zr 2.79, 2 La 3.00

***

# LiCaHoCl6

LiCaHoCl6 after structural relaxation (PBE, Alexandria).

Values from the calculation:
As for the density: 2.943 g/cm3. Its magnetic moment is 0.00 μB/f.u. As for the electronic total energy: -39.26 eV/f.u.

Unit cell a=6.8333 b=6.8333 c=11.8520 alpha=90.00 beta=90.00 gamma=120.00
Last column: nearest neighbours and their distance in Å.
Space group P-31c (No. 163)
One atom of each set of equivalent atoms:
Li 0.0000 0.0000 0.0000 x2  6 Cl 2.75
Ca 0.3333 0.6667 0.2500 x2  6 Cl 2.75
Ho 0.3333 0.6667 0.7500 x2  6 Cl 2.64
Cl 0.0127 0.3439 0.6262 x12  1 Ho 2.64, 1 Li 2.75, 1 Ca 2.75

***

# NdMnS3

NdMnS3 after structural relaxation (PBE, Alexandria).

Values from the calculation:
As for the density: 5.043 g/cm3. Its magnetic moment is 3.92 μB/f.u. As for the electronic total energy: -32.73 eV/f.u.

Unit cell a=7.7583 b=3.8399 c=13.0591 alpha=90.00 beta=90.00 gamma=90.00
Last column: nearest neighbours and their distance in Å.
Space group Pnma (No. 62)
One atom of each set of equivalent atoms:
Nd 0.0915 0.2500 0.1703 x4  9 S 2.93-3.10
Mn 0.1583 0.7500 0.4469 x4  6 S 2.37-2.52
S 0.0213 0.7500 0.6105 x4  3 Mn 2.39-2.49
S 0.1560 0.7500 0.0049 x4  2 Mn 2.52
S 0.1957 0.2500 0.7877 x4  1 Mn 2.37

***

# VCrCu2

VCrCu2 after structural relaxation (PBE, Alexandria).

Values from the calculation:
As for the density: 6.818 g/cm3. Its magnetic moment is 0.76 μB/f.u. As for the electronic total energy: -24.55 eV/f.u.

Unit cell a=6.8265 b=6.8265 c=4.8089 alpha=90.00 beta=90.00 gamma=90.00
Last column: nearest neighbours and their distance in Å.
Space group I-42d (No. 122)
One atom of each set of equivalent atoms:
V 0.0000 0.0000 0.0000 x4  2 Cr 2.40, 4 Cu 2.50
Cr 0.0000 0.0000 0.5000 x4  2 V 2.40, 4 Cu 2.48
Cu 0.2475 0.2500 0.6250 x8  2 Cu 2.40, 2 Cr 2.48, 2 V 2.50

***

# Li6CaIn6

Li6CaIn6 after structural relaxation (PBE, Alexandria).

Values from the calculation:
As for the density: 4.668 g/cm3. Its magnetic moment is 0.00 μB/f.u. As for the electronic total energy: -33.70 eV/f.u.

Unit cell a=5.7537 b=9.7345 c=9.7883 alpha=90.00 beta=90.00 gamma=90.00
Last column: nearest neighbours and their distance in Å.
Space group Immm (No. 71)
One atom of each set of equivalent atoms:
Li 0.0000 0.0000 0.2290 x4  4 Li 2.83, 6 In 2.99-3.09
Li 0.2500 0.2500 0.2500 x8  4 Li 2.83-2.88, 6 In 2.88-2.99
Ca 0.0000 0.5000 0.5000 x2  8 In 3.38-3.49, 12 Li 3.65-3.74
In 0.0000 0.1526 0.5000 x4  3 In 2.97-3.20, 6 Li 2.99-3.04
In 0.0000 0.2027 0.0000 x4  6 Li 2.88-2.99, 2 In 3.20
In 0.0000 0.5000 0.1549 x4  6 Li 2.98-3.09, 3 In 3.03-3.27